1.
The following is a PBE calculation of a relaxed AsSe crystal, from the Alexandria database.

Cell: 14.701 7.117 9.993 Å, 73.43 90.00 90.00°
Atoms (fractional coordinates):
Se: 0.771 0.341 0.249
Se: 0.271 0.159 0.251
Se: 0.712 0.441 0.607
Se: 0.499 0.780 0.851
Se: 0.212 0.059 0.893
Se: 0.519 0.623 0.287
Se: 0.788 0.941 0.107
Se: 0.288 0.559 0.393
Se: 0.001 0.280 0.351
Se: 0.229 0.659 0.751
Se: 0.981 0.123 0.787
Se: 0.729 0.841 0.749
Se: 0.999 0.720 0.649
Se: 0.481 0.377 0.713
Se: 0.501 0.220 0.149
Se: 0.019 0.877 0.213
As: 0.641 0.613 0.927
As: 0.141 0.887 0.573
As: 0.859 0.113 0.427
As: 0.661 0.776 0.548
As: 0.839 0.276 0.048
As: 0.010 0.228 0.123
As: 0.871 0.818 0.322
As: 0.990 0.772 0.877
As: 0.161 0.724 0.952
As: 0.490 0.728 0.623
As: 0.129 0.182 0.678
As: 0.359 0.387 0.073
As: 0.339 0.224 0.452
As: 0.629 0.318 0.822
As: 0.510 0.272 0.377
As: 0.371 0.682 0.178

## Properties
Energy relative to the elements, uncorrected   -0.10 eV per atom
M_tot   0.000 μB/atom

---

2.
The following is a PBE calculation of a relaxed As4Se5 crystal, from the Alexandria database.

Cell: 3.493 9.964 9.964 Å, 88.24 79.91 79.91°
Atoms (fractional coordinates):
As: 0.181 0.819 0.819
As: 0.819 0.181 0.181
As: 0.000 0.181 0.819
As: 0.000 0.819 0.181
Se: 0.351 0.299 0.000
Se: 0.649 0.701 0.000
Se: 0.000 0.000 0.000
Se: 0.649 0.000 0.701
Se: 0.351 0.000 0.299

## Properties
Relative energy among the computed polymorphs   0.000 eV/atom
Energy relative to the elements, uncorrected   0.18 eV per atom
M_tot   0.000 μB/atom

---

3.
The following is a PBE calculation of a relaxed As3Se crystal, from the Alexandria database.

Cell: 4.287 4.287 4.287 Å, 90.00 90.00 90.00°
Atoms (fractional coordinates):
Se: 0.000 0.000 0.000
As: 0.500 0.500 0.000
As: 0.500 0.000 0.500
As: 0.000 0.500 0.500

## Properties
Relative energy among the computed polymorphs   0.525 eV/atom
Energy relative to the elements, uncorrected   0.61 eV per atom
M_tot   0.000 μB/atom

---

4.
The following is a PBE calculation of a relaxed AsSe5 crystal, from the Alexandria database.

Cell: 6.330 6.330 3.825 Å, 90.00 90.00 120.00°
Atoms (fractional coordinates):
Se: 0.667 0.333 0.500
Se: 0.333 0.667 0.500
Se: 0.000 0.680 0.000
Se: 0.320 0.320 0.000
Se: 0.680 0.000 0.000
As: 0.000 0.000 0.500

## Properties
Relative energy among the computed polymorphs   0.313 eV/atom
Energy relative to the elements, uncorrected   0.33 eV per atom
M_tot   0.000 μB/atom

---

5.
The following is a PBE calculation of a relaxed AsSe crystal, from the Alexandria database.

Cell: 12.156 12.156 3.444 Å, 90.00 90.00 120.00°
Atoms (fractional coordinates):
As: 0.652 0.650 0.750
As: 0.350 0.002 0.750
As: 0.002 0.652 0.250
As: 0.348 0.350 0.250
As: 0.998 0.348 0.750
As: 0.650 0.998 0.250
Se: 0.494 0.134 0.250
Se: 0.134 0.641 0.750
Se: 0.866 0.359 0.250
Se: 0.506 0.866 0.750
Se: 0.641 0.506 0.250
Se: 0.359 0.494 0.750

## Properties
Energy relative to the elements, uncorrected   0.13 eV per atom
M_tot   0.000 μB/atom

---

6.
The following is a PBE calculation of a relaxed AsSe5 crystal, from the Alexandria database.

Cell: 5.133 5.133 8.498 Å, 90.00 90.00 120.00°
Last column: magnetic moment on the atom in μB.
Atoms (fractional coordinates):
Se: 0.333 0.667 0.000  0.12
Se: 0.500 0.000 0.500  0.39
Se: 0.000 0.500 0.500  0.39
Se: 0.500 0.500 0.500  0.39
Se: 0.667 0.333 0.000  0.12
As: 0.000 0.000 0.000  0.21

## Properties
Relative energy among the computed polymorphs   0.637 eV/atom
Energy relative to the elements, uncorrected   0.66 eV per atom
M_tot   0.433 μB/atom

---

7.
The following is a PBE calculation of a relaxed As2Se3 crystal, from the Alexandria database.

Cell: 3.808 3.808 10.067 Å, 90.00 90.00 120.00°
Atoms (fractional coordinates):
As: 0.667 0.333 0.176
As: 0.333 0.667 0.824
Se: 0.667 0.333 0.679
Se: 0.333 0.667 0.321
Se: 0.000 0.000 0.000

## Properties
Energy relative to the elements, uncorrected   -0.11 eV per atom
M_tot   0.000 μB/atom

---

8.
The following is a PBE calculation of a relaxed As3Se crystal, from the Alexandria database.

Cell: 6.364 6.364 4.888 Å, 90.00 90.00 120.00°
Atoms (fractional coordinates):
As: 0.140 0.279 0.750
As: 0.860 0.140 0.250
As: 0.721 0.860 0.750
As: 0.860 0.721 0.250
As: 0.140 0.860 0.750
As: 0.279 0.140 0.250
Se: 0.667 0.333 0.750
Se: 0.333 0.667 0.250

## Properties
Relative energy among the computed polymorphs   0.331 eV/atom
Energy relative to the elements, uncorrected   0.41 eV per atom
M_tot   0.000 μB/atom